Record 1
V2FeAu | PBE | optimized geometry

abc: 2.7010 2.7010 7.5045
angles: 90.00 90.00 90.00
Closest atoms and distances in Å follow each position.
Fractional coordinates of all 4 atoms:
V1 0.0000 0.0000 0.7904  4 Fe 2.47, 4 V 2.70
V2 0.0000 0.0000 0.2096  4 Fe 2.47, 4 V 2.70
Au1 0.5000 0.5000 0.5000  4 Au 2.70, 8 V 2.90
Fe1 0.5000 0.5000 0.0000  8 V 2.47, 4 Fe 2.70

Summary:
Volume in Å³/f.u.: 54.75
Formation enthalpy at 0 K in eV per atom: -0.019
Energy above the lowest structure with this stoichiometry in eV/atom: 0.0000

Record 2
AcTaP3 | PBE | optimized geometry

abc: 4.8590 4.8590 4.8590
angles: 90.00 90.00 90.00
Closest atoms and distances in Å follow each position.
Fractional coordinates of all 5 atoms:
P1 0.0000 0.5000 0.0000  2 Ta 2.43
P2 0.5000 0.0000 0.0000  2 Ta 2.43
P3 0.0000 0.0000 0.5000  2 Ta 2.43
Ta1 0.0000 0.0000 0.0000  6 P 2.43
Ac1 0.5000 0.5000 0.5000  12 P 3.44

Summary:
Volume in Å³/f.u.: 114.72
Formation enthalpy at 0 K in eV per atom: -0.670

Record 3
K2PAuSe4 | PBE | optimized geometry

abc: 6.6948 7.2044 12.7244
angles: 82.98 74.75 62.31
Closest atoms and distances in Å follow each position.
Fractional coordinates of all 16 atoms:
Se1 0.3515 0.7977 0.1026  1 P 2.24
Se2 0.8507 0.7977 0.8974  1 P 2.24
Se3 0.5459 0.2023 0.1026  1 P 2.24
Se4 0.2519 0.2023 0.8974  1 P 2.24
Se5 0.4981 0.2977 0.6026  1 P 2.24
Se6 0.8993 0.7023 0.6026  1 P 2.24
Se7 0.2041 0.2977 0.3974  1 P 2.24
Se8 0.3985 0.7023 0.3974  1 P 2.24
Au1 0.0000 0.0000 0.0000  4 Se 2.71
Au2 0.7500 0.5000 0.5000  4 Se 2.71
K1 0.9365 0.5000 0.1269  4 Se 3.42-3.56
K2 0.1865 0.0000 0.6269  4 Se 3.42-3.56
K3 0.8135 0.0000 0.3731  4 Se 3.42-3.56
K4 0.5635 0.5000 0.8731  4 Se 3.42-3.56
P1 0.5000 0.0000 0.0000  4 Se 2.24
P2 0.2500 0.5000 0.5000  4 Se 2.24

Summary:
Volume in Å³/f.u.: 262.16
ΔE_f (raw) in eV per formula unit: -4.04

Record 4
Cr2AgMo | PBE | optimized geometry

abc: 4.4024 4.4024 4.4024
angles: 60.00 60.00 60.00
Closest atoms and distances in Å follow each position.
Fractional coordinates of all 4 atoms:
Cr1 0.7500 0.7500 0.7500  4 Mo 2.70, 4 Ag 2.70
Cr2 0.2500 0.2500 0.2500  4 Mo 2.70, 4 Ag 2.70
Ag1 0.5000 0.5000 0.5000  8 Cr 2.70
Mo1 0.0000 0.0000 0.0000  8 Cr 2.70

Summary:
Volume in Å³/f.u.: 60.33
Formation enthalpy at 0 K in eV per atom: 0.488
Energy above the lowest structure with this stoichiometry in eV/atom: 0.1403

Record 5
CuAg12O7 | PBE | optimized geometry

abc: 7.0545 7.0545 7.0545
angles: 107.10 107.10 107.10
Closest atoms and distances in Å follow each position.
Fractional coordinates of all 20 atoms:
Ag1 0.6695 0.2410 0.0761  2 O 2.19-2.24
Ag2 0.5032 0.8479 0.6001  3 O 2.34-2.59
Ag3 0.3305 0.7590 0.9239  2 O 2.19-2.24
Ag4 0.4968 0.1521 0.3999  3 O 2.34-2.59
Ag5 0.2410 0.0761 0.6695  2 O 2.19-2.24
Ag6 0.7590 0.9239 0.3305  2 O 2.19-2.24
Ag7 0.1521 0.3999 0.4968  3 O 2.34-2.59
Ag8 0.0761 0.6695 0.2410  2 O 2.19-2.24
Ag9 0.8479 0.6001 0.5032  3 O 2.34-2.59
Ag10 0.6001 0.5032 0.8479  3 O 2.34-2.59
Ag11 0.9239 0.3305 0.7590  2 O 2.19-2.24
Ag12 0.3999 0.4968 0.1521  3 O 2.34-2.59
O1 0.1202 0.0076 0.3149  1 Cu 2.11, 3 Ag 2.19-2.36
O2 0.8798 0.9924 0.6851  1 Cu 2.11, 3 Ag 2.19-2.36
O3 0.5000 0.5000 0.5000  6 Ag 2.34
O4 0.3149 0.1202 0.0076  1 Cu 2.11, 3 Ag 2.19-2.36
O5 0.6851 0.8798 0.9924  1 Cu 2.11, 3 Ag 2.19-2.36
O6 0.9924 0.6851 0.8798  1 Cu 2.11, 3 Ag 2.19-2.36
O7 0.0076 0.3149 0.1202  1 Cu 2.11, 3 Ag 2.19-2.36
Cu1 0.0000 0.0000 0.0000  6 O 2.11

Summary:
Volume in Å³/f.u.: 291.55
ΔE_f (raw) in eV per formula unit: -0.50

Record 6
CrSb2Te | PBE | optimized geometry

abc: 5.1969 5.2033 5.2007
angles: 71.20 69.17 108.77
Closest atoms and distances in Å follow each position.
Fractional coordinates of all 4 atoms:
Sb1 0.5000 0.0000 0.5000  2 Sb 2.95, 2 Cr 3.03, 2 Te 3.03
Sb2 0.0000 0.0000 0.0000  2 Sb 2.95, 2 Te 3.03, 2 Cr 3.03
Te1 0.0000 0.5000 0.5000  2 Cr 2.95, 4 Sb 3.03
Cr1 0.5000 0.5000 0.0000  2 Te 2.95, 4 Sb 3.03

Summary:
Volume in Å³/f.u.: 108.26
ΔE_f (raw) in eV per formula unit: 0.85
Energy above the lowest structure with this stoichiometry in eV/atom: 0.1164

Record 7
Er6Fe2Te | PBE | optimized geometry

abc: 8.3376 8.3376 8.3376
angles: 106.42 111.50 110.54
Closest atoms and distances in Å follow each position.
Fractional coordinates of all 18 atoms:
Fe1 0.5000 0.6074 0.1074  1 Fe 2.15
Fe2 0.6161 0.0000 0.6161  1 Fe 2.18
Fe3 0.5000 0.3926 0.8926  1 Fe 2.15
Fe4 0.3839 0.0000 0.3839  1 Fe 2.18
Er1 0.5301 0.7148 0.8153  2 Fe 2.88, 1 Te 3.22
Er2 0.6920 0.0060 0.3140  3 Fe 2.75-2.82
Er3 0.4699 0.2852 0.1847  2 Fe 2.88, 1 Te 3.22
Er4 0.3080 0.9940 0.6860  3 Fe 2.75-2.82
Er5 0.8996 0.7148 0.1847  2 Fe 2.88, 1 Te 3.22
Er6 0.3080 0.6221 0.3140  3 Fe 2.75-2.82
Er7 0.2161 0.2329 0.4490  2 Fe 2.81-3.10, 1 Te 3.09
Er8 0.2161 0.7671 0.9832  2 Fe 2.81-3.10, 1 Te 3.09
Er9 0.6920 0.3779 0.6860  3 Fe 2.75-2.82
Er10 0.1004 0.2852 0.8153  2 Fe 2.88, 1 Te 3.22
Er11 0.7839 0.7671 0.5510  2 Fe 2.81-3.10, 1 Te 3.09
Er12 0.7839 0.2329 0.0168  2 Fe 2.81-3.10, 1 Te 3.09
Te1 0.0000 0.5000 0.5000  12 Er 3.35-3.59
Te2 0.0000 0.0000 0.0000  8 Er 3.09-3.22

Summary:
Volume in Å³/f.u.: 222.59
ΔE_f (raw) in eV per formula unit: -2.52

Record 8
CsSmAgCl5 | PBE | optimized geometry

abc: 7.8689 7.8689 10.4136
angles: 102.02 102.02 108.84
Closest atoms and distances in Å follow each position.
Fractional coordinates of all 16 atoms:
Cl1 0.3625 0.2413 0.0705  1 Ag 2.64, 1 Sm 2.71
Cl2 0.7587 0.6375 0.4295  1 Ag 2.64, 1 Sm 2.71
Cl3 0.1015 0.7089 0.9108  1 Ag 2.61, 1 Sm 2.71
Cl4 0.8985 0.2911 0.0892  1 Ag 2.61, 1 Sm 2.71
Cl5 0.7089 0.1015 0.4108  1 Ag 2.61, 1 Sm 2.71
Cl6 0.6375 0.7587 0.9295  1 Ag 2.64, 1 Sm 2.71
Cl7 0.2413 0.3625 0.5705  1 Ag 2.64, 1 Sm 2.71
Cl8 0.9355 0.0645 0.7500  2 Sm 2.73
Cl9 0.2911 0.8985 0.5892  1 Ag 2.61, 1 Sm 2.71
Cl10 0.0645 0.9355 0.2500  2 Sm 2.73
Cs1 0.6596 0.3404 0.7500  7 Cl 3.51-3.80
Cs2 0.3404 0.6596 0.2500  7 Cl 3.51-3.80
Sm1 0.0000 0.0000 0.5000  6 Cl 2.71-2.73
Sm2 0.0000 0.0000 0.0000  6 Cl 2.71-2.73
Ag1 0.3128 0.6872 0.7500  4 Cl 2.61-2.64
Ag2 0.6872 0.3128 0.2500  4 Cl 2.61-2.64

Summary:
Volume in Å³/f.u.: 284.93
ΔE_f (raw) in eV per formula unit: -14.21

Record 9
SmBi2Pb | PBE | optimized geometry

abc: 4.7519 4.7519 9.6107
angles: 75.69 75.69 60.00
Closest atoms and distances in Å follow each position.
Fractional coordinates of all 4 atoms:
Sm1 0.5000 0.5000 0.5000  6 Bi 3.18
Bi1 0.8916 0.8916 0.3251  1 Pb 2.99, 3 Sm 3.18
Bi2 0.1084 0.1084 0.6749  1 Pb 2.99, 3 Sm 3.18
Pb1 0.0000 0.0000 0.0000  2 Bi 2.99

Summary:
Volume in Å³/f.u.: 180.12
Formation enthalpy at 0 K in eV per atom: 0.113
Energy above the lowest structure with this stoichiometry in eV/atom: 0.5295

Record 10
Dy7YHo5 | PBE | optimized geometry

abc: 6.6502 8.6577 8.6577
angles: 79.90 67.41 67.41
Closest atoms and distances in Å follow each position.
Fractional coordinates of all 13 atoms:
Y1 0.0358 0.9642 0.9642  7 Dy 3.56-3.89, 4 Ho 3.72
Ho1 0.4632 0.9978 0.5412  2 Ho 3.10, 5 Dy 3.40-3.46
Ho2 0.4632 0.5412 0.9978  2 Ho 3.10, 5 Dy 3.40-3.46
Ho3 0.9977 0.5412 0.9978  2 Ho 3.10, 5 Dy 3.40-3.46
Ho4 0.7307 0.7693 0.7693  4 Ho 3.10, 4 Dy 3.44
Ho5 0.9977 0.9978 0.5412  2 Ho 3.10, 5 Dy 3.40-3.46
Dy1 0.4825 0.8440 0.1911  5 Ho 3.41-3.46, 4 Dy 3.42-3.76
Dy2 0.4212 0.5788 0.5788  7 Dy 3.50-3.88, 4 Ho 3.69
Dy3 0.9817 0.3496 0.6870  5 Ho 3.44-3.45, 4 Dy 3.47-3.76, 1 Y 3.74
Dy4 0.2363 0.2637 0.2637  6 Dy 3.33-3.47, 4 Ho 3.40
Dy5 0.4825 0.1911 0.8440  5 Ho 3.41-3.46, 4 Dy 3.42-3.76
Dy6 0.7257 0.2743 0.2743  3 Dy 3.33-3.50, 4 Ho 3.51, 1 Y 3.56
Dy7 0.9817 0.6870 0.3496  5 Ho 3.44-3.45, 4 Dy 3.47-3.76, 1 Y 3.74

Summary:
Volume in Å³/f.u.: 424.72
Formation enthalpy at 0 K in eV per atom: 0.251

Record 11
LaBeCuIr2 | PBE | optimized geometry

abc: 4.3839 4.3839 4.2642
angles: 90.00 90.00 90.00
Closest atoms and distances in Å follow each position.
Fractional coordinates of all 5 atoms:
Be1 0.0000 0.0000 0.0000  2 Cu 2.13, 4 Ir 2.19
La1 0.5000 0.5000 0.5000  8 Ir 3.06, 4 Cu 3.10
Cu1 0.0000 0.0000 0.5000  2 Be 2.13
Ir1 0.5000 0.0000 0.0000  2 Be 2.19
Ir2 0.0000 0.5000 0.0000  2 Be 2.19

Summary:
Volume in Å³/f.u.: 81.95
Formation enthalpy at 0 K in eV per atom: -0.345

Record 12
LaTb4SmS8 | PBE | optimized geometry

abc: 8.1650 8.1650 8.1957
angles: 60.12 60.12 60.00
Closest atoms and distances in Å follow each position.
Fractional coordinates of all 14 atoms:
S1 0.2375 0.2375 0.2876  1 La 2.75, 3 Tb 2.76
S2 0.7534 0.7534 0.2617  3 Tb 2.63-2.79, 1 Sm 2.84
S3 0.2314 0.7534 0.2617  3 Tb 2.63-2.79, 1 Sm 2.84
S4 0.2412 0.7845 0.7332  1 La 2.74, 2 Tb 2.76, 1 Sm 2.81
S5 0.7574 0.7574 0.7278  4 Tb 2.65-2.80
S6 0.7534 0.2314 0.2617  3 Tb 2.63-2.79, 1 Sm 2.84
S7 0.2412 0.2412 0.7332  1 La 2.74, 2 Tb 2.76, 1 Sm 2.81
S8 0.7845 0.2412 0.7332  1 La 2.74, 2 Tb 2.76, 1 Sm 2.81
Tb1 0.5029 0.9992 0.4988  6 S 2.76-2.80
Tb2 0.9992 0.5029 0.4988  6 S 2.76-2.80
Tb3 0.6256 0.6256 0.1233  4 S 2.63-2.65
Tb4 0.9992 0.9992 0.4988  6 S 2.76-2.80
La1 0.3743 0.3743 0.8770  4 S 2.74-2.75
Sm1 0.9990 0.9990 0.0029  6 S 2.81-2.84

Summary:
Volume in Å³/f.u.: 387.07
ΔE_f (raw) in eV per formula unit: -27.27

Record 13
PmErAsO2 | PBE | optimized geometry

abc: 3.8293 3.8293 7.0344
angles: 105.79 105.79 90.00
Closest atoms and distances in Å follow each position.
Fractional coordinates of all 5 atoms:
Pm1 0.8430 0.8430 0.6860  4 O 2.29
Er1 0.1624 0.1624 0.3248  4 O 2.20
O1 0.2458 0.7458 0.4916  2 Er 2.20, 2 Pm 2.29
O2 0.7458 0.2458 0.4916  2 Er 2.20, 2 Pm 2.29
As1 0.5030 0.5030 0.0060  4 Er 3.41, 4 Pm 3.41, 4 O 3.69

Summary:
Volume in Å³/f.u.: 95.20
ΔE_f (raw) in eV per formula unit: -13.22

Record 14
Sm2Y2In | PBE | optimized geometry

abc: 5.5009 6.6903 10.2500
angles: 102.18 74.43 65.73
Closest atoms and distances in Å follow each position.
Fractional coordinates of all 10 atoms:
Y1 0.1032 0.7426 0.0511  3 In 3.30-3.35, 2 Y 3.53-3.63, 2 Sm 3.54
Y2 0.3174 0.7072 0.6581  1 In 3.20, 2 Y 3.22-3.53, 4 Sm 3.22-3.54
Y3 0.8968 0.2574 0.9489  3 In 3.30-3.35, 2 Y 3.53-3.63, 2 Sm 3.54
Y4 0.6826 0.2928 0.3419  1 In 3.20, 2 Y 3.22-3.53, 4 Sm 3.22-3.54
Sm1 0.8955 0.7625 0.4464  3 In 3.37-3.43, 3 Y 3.54-3.74, 2 Sm 3.55-3.72
Sm2 0.3183 0.2033 0.1600  4 Y 3.22-3.54, 2 Sm 3.23-3.55, 1 In 3.23
Sm3 0.1045 0.2375 0.5536  3 In 3.37-3.43, 3 Y 3.54-3.74, 2 Sm 3.55-3.72
Sm4 0.6817 0.7967 0.8400  4 Y 3.22-3.54, 2 Sm 3.23-3.55, 1 In 3.23
In1 0.4919 0.2608 0.7554  4 Y 3.20-3.35, 4 Sm 3.23-3.43
In2 0.5081 0.7392 0.2446  4 Y 3.20-3.35, 4 Sm 3.23-3.43

Summary:
Volume in Å³/f.u.: 154.15
Formation enthalpy at 0 K in eV per atom: -0.176
Energy above the lowest structure with this stoichiometry in eV/atom: 0.0000

Record 15
MnAl12Fe6 | PBE | optimized geometry

abc: 6.9561 6.9561 6.9561
angles: 109.47 109.47 109.47
Closest atoms and distances in Å follow each position.
Fractional coordinates of all 19 atoms:
Al1 0.9001 0.1746 0.7256  3 Fe 2.34-2.56, 1 Mn 2.61
Al2 0.5510 0.8254 0.7256  3 Fe 2.34-2.56, 1 Mn 2.61
Al3 0.7256 0.9001 0.1746  3 Fe 2.34-2.56, 1 Mn 2.61
Al4 0.7256 0.5510 0.8254  3 Fe 2.34-2.56, 1 Mn 2.61
Al5 0.2744 0.4490 0.1746  3 Fe 2.34-2.56, 1 Mn 2.61
Al6 0.1746 0.2744 0.4490  3 Fe 2.34-2.56, 1 Mn 2.61
Al7 0.1746 0.7256 0.9001  3 Fe 2.34-2.56, 1 Mn 2.61
Al8 0.0999 0.8254 0.2744  3 Fe 2.34-2.56, 1 Mn 2.61
Al9 0.2744 0.0999 0.8254  3 Fe 2.34-2.56, 1 Mn 2.61
Al10 0.8254 0.7256 0.5510  3 Fe 2.34-2.56, 1 Mn 2.61
Al11 0.8254 0.2744 0.0999  3 Fe 2.34-2.56, 1 Mn 2.61
Al12 0.4490 0.1746 0.2744  3 Fe 2.34-2.56, 1 Mn 2.61
Fe1 0.6419 0.5000 0.1419  1 Fe 2.28, 2 Al 2.34
Fe2 0.5000 0.1419 0.6419  1 Fe 2.28, 2 Al 2.34
Fe3 0.5000 0.8581 0.3581  1 Fe 2.28, 2 Al 2.34
Fe4 0.3581 0.5000 0.8581  1 Fe 2.28, 2 Al 2.34
Fe5 0.8581 0.3581 0.5000  1 Fe 2.28, 2 Al 2.34
Fe6 0.1419 0.6419 0.5000  1 Fe 2.28, 2 Al 2.34
Mn1 0.0000 0.0000 0.0000  12 Al 2.61

Summary:
Volume in Å³/f.u.: 259.10
Formation enthalpy at 0 K in eV per atom: -0.214

Record 16
BaGa2Pd | PBE | optimized geometry

abc: 5.5439 4.6400 4.6400
angles: 74.02 90.00 90.00
Closest atoms and distances in Å follow each position.
Fractional coordinates of all 4 atoms:
Pd1 0.5000 0.3291 0.6709  4 Ga 2.47-2.50
Ba1 0.0000 0.0337 0.9663  2 Pd 3.23, 4 Ga 3.57
Ga1 0.5000 0.5299 0.1127  2 Pd 2.47-2.50, 1 Ga 2.65
Ga2 0.5000 0.8873 0.4701  2 Pd 2.47-2.50, 1 Ga 2.65

Summary:
Volume in Å³/f.u.: 114.75
Formation enthalpy at 0 K in eV per atom: -0.423

Record 17
NpNiH6Ru | PBE | optimized geometry

abc: 5.6983 6.0856 5.9027
angles: 121.03 118.86 90.00
Closest atoms and distances in Å follow each position.
Fractional coordinates of all 18 atoms:
Ru1 0.5000 0.0000 0.0000  6 H 1.73-1.78
Ru2 0.5000 0.5000 0.0000  6 H 1.73-1.78
Ni1 0.5000 0.0000 0.5000  6 H 1.58-1.65
Ni2 0.0000 0.0000 0.5000  6 H 1.58-1.65
H1 0.1686 0.9186 0.3373  2 Ni 1.58
H2 0.6388 0.3326 0.7778  1 Ni 1.65, 1 Ru 1.73
H3 0.8610 0.6674 0.2222  1 Ni 1.65, 1 Ru 1.73
H4 0.3886 0.6386 0.7772  2 Ru 1.78
H5 0.6114 0.3614 0.2228  2 Ru 1.78
H6 0.8314 0.0814 0.6627  2 Ni 1.58
H7 0.1390 0.3326 0.7778  1 Ni 1.65, 1 Ru 1.73
H8 0.1390 0.9452 0.7778  1 Ni 1.65, 1 Ru 1.73
H9 0.3612 0.0548 0.2222  1 Ni 1.65, 1 Ru 1.73
H10 0.8610 0.0548 0.2222  1 Ni 1.65, 1 Ru 1.73
H11 0.3612 0.6674 0.2222  1 Ni 1.65, 1 Ru 1.73
H12 0.6388 0.9452 0.7778  1 Ni 1.65, 1 Ru 1.73
Np1 0.1068 0.3568 0.2136  6 H 2.30-2.36
Np2 0.8932 0.6432 0.7864  6 H 2.30-2.36

Summary:
Volume in Å³/f.u.: 72.46
Energy in eV per atom: -5.40

Record 18
CdHgIN2 | PBE | optimized geometry

abc: 4.3601 4.3601 7.9096
angles: 90.00 90.00 90.00
Closest atoms and distances in Å follow each position.
Fractional coordinates of all 5 atoms:
Hg1 0.0000 0.0000 0.0000  4 N 2.18
I1 0.0000 0.0000 0.5000  4 Cd 3.08
N1 0.0000 0.5000 0.0000  2 Hg 2.18
N2 0.5000 0.0000 0.0000  2 Hg 2.18
Cd1 0.5000 0.5000 0.5000  4 I 3.08

Summary:
Volume in Å³/f.u.: 150.37
ΔE_f (raw) in eV per formula unit: 8.11
Energy above the lowest structure with this stoichiometry in eV/atom: 0.1169

Record 19
Sc5AgO8 | PBE | optimized geometry

abc: 6.3831 6.3831 6.3831
angles: 60.00 60.00 60.00
Closest atoms and distances in Å follow each position.
Fractional coordinates of all 14 atoms:
Sc1 0.0000 0.0000 0.0000  4 O 2.07
Sc2 0.6218 0.1344 0.6219  6 O 2.07-2.23
Sc3 0.1344 0.6219 0.6219  6 O 2.07-2.23
Sc4 0.6218 0.6219 0.1344  6 O 2.07-2.23
Sc5 0.6218 0.6219 0.6219  6 O 2.07-2.23
O1 0.3942 0.3942 0.3942  3 Sc 2.07, 1 Ag 2.25
O2 0.3942 0.3942 0.8175  3 Sc 2.07, 1 Ag 2.25
O3 0.3962 0.8679 0.8679  4 Sc 2.07-2.23
O4 0.8679 0.8679 0.8679  4 Sc 2.07-2.23
O5 0.8679 0.3962 0.8679  4 Sc 2.07-2.23
O6 0.8175 0.3942 0.3942  3 Sc 2.07, 1 Ag 2.25
O7 0.8679 0.8679 0.3962  4 Sc 2.07-2.23
O8 0.3942 0.8175 0.3942  3 Sc 2.07, 1 Ag 2.25
Ag1 0.2500 0.2500 0.2500  4 O 2.25

Summary:
Volume in Å³/f.u.: 183.90
ΔE_f (raw) in eV per formula unit: -43.07

Record 20
KHfSb2I | PBE | optimized geometry

abc: 5.7155 5.7155 5.7446
angles: 90.00 90.00 90.00
Closest atoms and distances in Å follow each position.
Fractional coordinates of all 5 atoms:
I1 0.0000 0.0000 0.5000  2 K 2.87
Sb1 0.5000 0.0000 0.0000  2 K 2.86
Sb2 0.0000 0.5000 0.0000  2 K 2.86
K1 0.0000 0.0000 0.0000  4 Sb 2.86, 2 I 2.87
Hf1 0.5000 0.5000 0.5000  4 I 4.04, 8 Sb 4.05

Summary:
Volume in Å³/f.u.: 187.66
ΔE_f (raw) in eV per formula unit: 6.71
Energy above the lowest structure with this stoichiometry in eV/atom: 1.6950